(1)
{"formula": "InPb2Au", "functional": "PBEsol", "state": "relaxed", "lattice": [[4.636, 0.000, 0.000], [0.000, 4.636, 0.000], [0.000, 0.000, 4.612]], "species": ["In", "Pb", "Pb", "Au"], "fractional_positions": [[0.000, 0.000, 0.000], [0.000, 0.500, 0.500], [0.500, 0.000, 0.500], [0.500, 0.500, 0.000]], "dos_ef_per_ev_atom": 0.4280, "ef_ev_per_atom": 0.04}



(2)
{"formula": "MgTi2SO", "functional": "PBEsol", "state": "relaxed", "lattice": [[3.846, 0.000, 0.000], [0.000, 3.846, 0.000], [0.000, 0.000, 5.606]], "species": ["Mg", "Ti", "Ti", "S", "O"], "fractional_positions": [[0.000, 0.000, 0.000], [0.000, 0.500, 0.500], [0.500, 0.000, 0.500], [0.500, 0.500, 0.000], [0.500, 0.500, 0.500]], "final_energy_ev_per_cell": -32.88, "dos_ef_per_ev_atom": 0.9417}



(3)
{"formula": "Fe2RuRh", "functional": "PBEsol", "state": "relaxed", "lattice": [[-1.839, 1.839, 3.576], [1.839, -1.839, 3.576], [1.839, 1.839, -3.576]], "species": ["Fe", "Fe", "Ru", "Rh"], "fractional_positions": [[0.250, 0.750, 0.500], [0.750, 0.250, 0.500], [0.000, 0.000, 0.000], [0.500, 0.500, 0.000]], "dos_ef_per_ev_atom": 1.1763, "ef_ev_per_atom": 0.11}